A PBEsol-optimized structure of TaInNi2, computed with meta-GGA SCAN.

a = 2.8846 Å, b = 2.8846 Å, c = 25.0819 Å
α = 90.00°, β = 90.00°, γ = 120.00°
Space group R3m (No. 160, hexagonal axes)
One atom of each set of equivalent atoms:
Ta1 0.0000 0.0000 0.0000
In1 0.0000 0.0000 0.7682
Ni1 0.0000 0.0000 0.2547
Ni2 0.0000 0.0000 0.5157

Computed properties:
* DFT formation energy: 0.314 eV per atom
* volume: 15.062 Å³/atom
* total DFT energy (no corrections): -393.183 eV/cell